No. 1
DFT (PBE) results for crystalline UTcRu at its relaxed geometry.

Cell and atoms, written as extended XYZ:
```
3
Lattice="3.357 0.000 0.000 -1.679 2.908 0.000 0.000 0.000 5.486" Properties=species:S:1:pos:R:3 pbc="T T T"
U 0.000 0.000 0.000
Tc 0.000 1.938 3.774
Ru 1.679 0.969 1.676
```

Calculated values
- Calculated total energy: -0.7502 Ry/atom
- Total magnetization: 0.000 μB/cell
- Excess energy over the best structure of this formula in the dataset: 275 meV/atom
- Formation energy from the elements: 103 meV/atom


No. 2
DFT (PBE) results for crystalline ScNi2Ir at its relaxed geometry.

Cell and atoms, written as extended XYZ:
```
12
Lattice="2.766 0.000 0.000 -1.383 2.396 0.000 0.000 0.000 25.637" Properties=species:S:1:pos:R:3 pbc="T T T"
Sc 0.000 0.000 0.000
Sc 0.000 1.597 17.091
Sc 1.383 0.799 8.546
Ni 0.000 0.000 6.355
Ni 0.000 0.000 19.282
Ni 0.000 1.597 10.736
Ni 0.000 1.597 23.447
Ni 1.383 0.799 2.190
Ni 1.383 0.799 14.901
Ir 0.000 0.000 12.819
Ir 0.000 1.597 4.273
Ir 1.383 0.799 21.364
```

Calculated values
- Calculated total energy: -0.4827 Ry/atom
- Total magnetization: 2.446 μB/cell
- Formation energy from the elements: 121 meV/atom


No. 3
DFT (PBE) results for crystalline CeHfZrTi at its relaxed geometry.

Cell and atoms, written as extended XYZ:
```
16
Lattice="7.132 0.000 0.000 0.000 7.132 0.000 0.000 0.000 7.132" Properties=species:S:1:pos:R:3 pbc="T T T"
Ce 0.000 0.000 0.000
Ce 0.000 3.566 3.566
Ce 3.566 0.000 3.566
Ce 3.566 3.566 0.000
Hf 1.783 1.783 1.783
Hf 1.783 5.349 5.349
Hf 5.349 1.783 5.349
Hf 5.349 5.349 1.783
Zr 0.000 0.000 3.566
Zr 0.000 3.566 0.000
Zr 3.566 0.000 0.000
Zr 3.566 3.566 3.566
Ti 1.783 1.783 5.349
Ti 1.783 5.349 1.783
Ti 5.349 1.783 1.783
Ti 5.349 5.349 5.349
```

Calculated values
- Calculated total energy: -0.5804 Ry/atom
- Total magnetization: 7.442 μB/cell
- Formation energy from the elements: 186 meV/atom


No. 4
DFT (PBE) results for crystalline Mn2PRh at its relaxed geometry.

Cell and atoms, written as extended XYZ:
```
8
Lattice="3.586 0.000 0.000 0.000 3.586 0.000 0.000 0.000 7.501" Properties=species:S:1:pos:R:3 pbc="T T T"
Mn 0.000 1.793 1.875
Mn 0.000 1.793 5.626
Mn 1.793 0.000 1.875
Mn 1.793 0.000 5.626
P 0.000 0.000 0.000
P 1.793 1.793 3.751
Rh 0.000 0.000 3.751
Rh 1.793 1.793 0.000
```

Calculated values
- Calculated total energy: -0.5807 Ry/atom
- Total magnetization: 6.650 μB/cell
- Formation energy from the elements: -126 meV/atom


No. 5
DFT (PBE) results for crystalline CaCr2Ni2 at its relaxed geometry.

Cell and atoms, written as extended XYZ:
```
10
Lattice="3.574 0.000 0.000 0.000 3.574 0.000 0.000 0.000 11.719" Properties=species:S:1:pos:R:3 pbc="T T T"
Ca 0.000 0.000 0.000
Ca 1.787 1.787 5.859
Cr 0.000 1.787 2.930
Cr 0.000 1.787 8.789
Cr 1.787 0.000 2.930
Cr 1.787 0.000 8.789
Ni 0.000 0.000 4.595
Ni 0.000 0.000 7.124
Ni 1.787 1.787 1.264
Ni 1.787 1.787 10.454
```

Calculated values
- Calculated total energy: -0.4562 Ry/atom
- Total magnetization: 0.000 μB/cell
- Excess energy over the best structure of this formula in the dataset: 0 meV/atom
- Formation energy from the elements: 356 meV/atom


No. 6
DFT (PBE) results for crystalline AlSe2SBr at its relaxed geometry.

Cell and atoms, written as extended XYZ:
```
5
Lattice="4.914 0.000 0.000 0.000 4.914 0.000 0.000 0.000 5.168" Properties=species:S:1:pos:R:3 pbc="T T T"
Al 0.000 0.000 0.000
Se 0.000 2.457 2.584
Se 2.457 0.000 2.584
S 2.457 2.457 2.584
Br 2.457 2.457 0.000
```

Calculated values
- Energy relative to the elements, uncorrected: 2.07 eV/f.u.
- Calculated total energy: -0.2123 Ry/atom
- Total magnetization: 0.000 μB/cell
- Excess energy over the best structure of this formula in the dataset: 63 meV/atom


No. 7
DFT (PBE) results for crystalline RbZnSn at its relaxed geometry.

Cell and atoms, written as extended XYZ:
```
12
Lattice="13.318 0.000 0.000 0.000 4.421 0.000 -4.764 0.000 6.804" Properties=species:S:1:pos:R:3 pbc="T T T"
Rb -0.701 0.000 2.484
Rb 2.597 2.210 4.320
Rb 5.958 2.210 2.484
Rb 9.256 0.000 4.320
Zn 1.236 2.210 0.193
Zn 0.660 0.000 6.611
Zn 7.895 0.000 0.193
Zn 7.319 2.210 6.611
Sn -1.075 2.210 5.762
Sn 2.970 0.000 1.042
Sn 5.584 0.000 5.762
Sn 9.629 2.210 1.042
```

Calculated values
- Calculated total energy: -0.1615 Ry/atom
- Total magnetization: 0.000 μB/cell
- Excess energy over the best structure of this formula in the dataset: 0 meV/atom
- Formation energy from the elements: -115 meV/atom


No. 8
DFT (PBE) results for crystalline ZrTc2GeH at its relaxed geometry.

Cell and atoms, written as extended XYZ:
```
5
Lattice="4.097 0.000 0.000 0.000 4.097 0.000 0.000 0.000 3.991" Properties=species:S:1:pos:R:3 pbc="T T T"
Zr 0.000 0.000 0.000
Tc 0.000 2.049 1.995
Tc 2.049 0.000 1.995
Ge 2.049 2.049 0.000
H 0.000 0.000 1.995
```

Calculated values
- Calculated total energy: -0.5602 Ry/atom
- Total magnetization: 0.000 μB/cell


No. 9
DFT (PBE) results for crystalline Ba2CaGeH at its relaxed geometry.

Cell and atoms, written as extended XYZ:
```
5
Lattice="5.307 0.000 0.000 0.000 5.307 0.000 0.000 0.000 5.216" Properties=species:S:1:pos:R:3 pbc="T T T"
Ba 0.000 2.654 0.000
Ba 2.654 0.000 0.000
Ca 0.000 0.000 2.608
Ge 2.654 2.654 2.608
H 0.000 0.000 0.000
```

Calculated values
- Calculated total energy: -0.2239 Ry/atom
- Total magnetization: 0.000 μB/cell
- Excess energy over the best structure of this formula in the dataset: 0 meV/atom


No. 10
DFT (PBE) results for crystalline ZrCdSi2 at its relaxed geometry.

Cell and atoms, written as extended XYZ:
```
4
Lattice="3.178 0.000 0.000 0.000 4.090 0.000 0.000 0.000 5.850" Properties=species:S:1:pos:R:3 pbc="T T T"
Zr 0.000 0.000 0.000
Cd 1.589 0.000 2.925
Si 1.589 2.045 1.188
Si 1.589 2.045 4.662
```

Calculated values
- Energy relative to the elements, uncorrected: -0.63 eV/f.u.
- Calculated total energy: -0.3848 Ry/atom
- Total magnetization: 0.000 μB/cell


No. 11
DFT (PBE) results for crystalline Sc2HgOsC at its relaxed geometry.

Cell and atoms, written as extended XYZ:
```
5
Lattice="4.648 0.000 0.000 0.000 4.648 0.000 0.000 0.000 3.908" Properties=species:S:1:pos:R:3 pbc="T T T"
Sc 0.000 2.324 0.000
Sc 2.324 0.000 0.000
Hg 0.000 0.000 1.954
Os 2.324 2.324 1.954
C 2.324 2.324 0.000
```

Calculated values
- Calculated total energy: -0.5254 Ry/atom
- Total magnetization: 0.000 μB/cell
- Formation energy from the elements: -464 meV/atom


No. 12
DFT (PBE) results for crystalline Sb3SeS3 at its relaxed geometry.

Cell and atoms, written as extended XYZ:
```
14
Lattice="6.459 0.000 0.000 2.287 7.630 0.000 0.066 0.250 8.436" Properties=species:S:1:pos:R:3 pbc="T T T"
Sb 2.159 2.372 1.186
Sb 2.420 2.633 5.824
Sb 3.538 6.179 1.476
Sb 5.274 1.700 6.960
Sb 6.393 5.246 2.612
Sb 6.654 5.508 7.250
Se 1.571 0.570 3.091
Se 7.242 7.310 5.345
S 2.523 4.585 3.086
S 2.585 4.647 7.291
S 1.590 1.045 7.593
S 7.222 6.835 0.844
S 6.228 3.233 1.145
S 6.290 3.295 5.350
```

Calculated values
- Energy relative to the elements, uncorrected: -1.13 eV/f.u.
- Calculated total energy: -0.3084 Ry/atom
- Total magnetization: 0.000 μB/cell
- Excess energy over the best structure of this formula in the dataset: 0 meV/atom


No. 13
DFT (PBE) results for crystalline Ce2HfTi at its relaxed geometry.

Cell and atoms, written as extended XYZ:
```
16
Lattice="7.308 0.000 0.000 0.000 7.308 0.000 0.000 0.000 7.308" Properties=species:S:1:pos:R:3 pbc="T T T"
Ce 1.827 1.827 1.827
Ce 1.827 1.827 5.481
Ce 1.827 5.481 1.827
Ce 1.827 5.481 5.481
Ce 5.481 1.827 1.827
Ce 5.481 1.827 5.481
Ce 5.481 5.481 1.827
Ce 5.481 5.481 5.481
Hf 0.000 0.000 0.000
Hf 0.000 3.654 3.654
Hf 3.654 0.000 3.654
Hf 3.654 3.654 0.000
Ti 0.000 0.000 3.654
Ti 0.000 3.654 0.000
Ti 3.654 0.000 0.000
Ti 3.654 3.654 3.654
```

Calculated values
- Calculated total energy: -0.5231 Ry/atom
- Total magnetization: 8.358 μB/cell
- Excess energy over the best structure of this formula in the dataset: 127 meV/atom
- Formation energy from the elements: 312 meV/atom


No. 14
DFT (PBE) results for crystalline CsAc2Zn at its relaxed geometry.

Cell and atoms, written as extended XYZ:
```
12
Lattice="4.129 0.000 0.000 -2.064 3.576 0.000 0.000 0.000 38.247" Properties=species:S:1:pos:R:3 pbc="T T T"
Cs 0.000 0.000 0.000
Cs 0.000 2.384 25.498
Cs 2.064 1.192 12.749
Ac 0.000 0.000 4.206
Ac 0.000 0.000 34.041
Ac 0.000 2.384 21.292
Ac 0.000 2.384 29.704
Ac 2.064 1.192 8.543
Ac 2.064 1.192 16.955
Zn 0.000 0.000 19.123
Zn 0.000 2.384 6.374
Zn 2.064 1.192 31.872
```

Calculated values
- Calculated total energy: -0.1780 Ry/atom
- Total magnetization: 0.001 μB/cell
- Formation energy from the elements: 165 meV/atom